5
Lattice="-1.933 -3.131 -3.386 3.626 -3.300 0.982 -2.564 -1.868 3.191" Properties=species:S:1:pos:R:3 comment="KLi2PPt | the Alexandria database | PBE | optimized geometry" final_energy_ev_per_atom=-3.698 ef_ev_per_atom=-0.42 polymorph_energy_mev_per_atom=13 magmom_total_mub_per_fu=0.0 dos_at_fermi_per_ev_fu=1.58 mass_density_kg_m3=4119 spacegroup="No. 123" pbc="T T T"
P -1.282 -0.934 1.595
Li 1.813 -1.650 0.491
Li -0.966 -1.565 -1.693
Pt 0.000 0.000 0.000
K -0.436 -4.149 0.393